The following is a DFT calculation (PBE-GGA) of crystalline In5P at its relaxed geometry.

Cell: 11.4940 3.6636 7.6414 Å, 90.00 107.04 90.00°
Last column: nearest neighbours and their distance in Å.
Fractional coordinates of all 12 atoms:
In (0.0000, 0.0000, 0.0000)  2 P 3.10, 6 In 3.22-3.38
In (0.0285, 0.0000, 0.4316)  2 P 2.82
In (0.1661, 0.5000, 0.7933)  12 In 3.31-3.70
In (0.3040, 0.0000, 0.1562)  2 P 2.82
In (0.3329, 0.0000, 0.5887)  2 P 3.08, 6 In 3.22-3.38
In (0.5000, 0.5000, 0.0000)  2 P 3.10, 6 In 3.22-3.38
In (0.5285, 0.5000, 0.4316)  2 P 2.82
In (0.6661, 0.0000, 0.7933)  12 In 3.31-3.70
In (0.8040, 0.5000, 0.1562)  2 P 2.82
In (0.8329, 0.5000, 0.5887)  2 P 3.08, 6 In 3.22-3.38
P (0.1673, 0.5000, 0.2958)  8 In 2.82-3.10
P (0.6673, 0.0000, 0.2958)  8 In 2.82-3.10

Calculated values
As for the crystal system: monoclinic. The formation energy from the elements comes out at 0.073 eV/atom. The value obtained for the distance to the lowest polymorph of the same formula is 0.000 eV per atom. Its raw total energy is -3.110 eV/atom. As for the symmetry: No. 8.